No. 1
Below is a relaxed structure of Ba3CaSm2Te6, with properties calculated at the GGA-PBE level.

Cell and atoms, written as CIF:
```
data_Ba3CaSm2Te6
_cell_length_a 8.0939
_cell_length_b 14.0161
_cell_length_c 8.2777
_cell_angle_alpha 90.00
_cell_angle_beta 109.01
_cell_angle_gamma 90.00
_symmetry_space_group_name_H-M 'C 1 2/m 1'
_symmetry_Int_Tables_number 12
_symmetry_space_group_name_Hall '-C 2y'
loop_
_atom_site_label
_atom_site_type_symbol
_atom_site_fract_x
_atom_site_fract_y
_atom_site_fract_z
Ba1 Ba 0.0000 0.0000 0.0000
Ba2 Ba 0.0000 0.3337 0.0000
Ca1 Ca 0.0000 0.5000 0.5000
Sm1 Sm 0.0000 0.1664 0.5000
Te1 Te 0.2390 0.0000 0.7199
Te2 Te 0.2407 0.3327 0.7205
```

Summary:
As for the total energy: -110.6 eV for the cell shown.

---

No. 2
Below is a relaxed structure of BaCaSn2, with properties calculated at the GGA-PBE level.

Cell and atoms, written as CIF:
```
data_BaCaSn2
_cell_length_a 5.1738
_cell_length_b 5.1738
_cell_length_c 4.8944
_cell_angle_alpha 90.00
_cell_angle_beta 90.00
_cell_angle_gamma 90.00
_symmetry_space_group_name_H-M 'P 4/m m m'
_symmetry_Int_Tables_number 123
_symmetry_space_group_name_Hall '-P 4 2'
loop_
_atom_site_label
_atom_site_type_symbol
_atom_site_fract_x
_atom_site_fract_y
_atom_site_fract_z
Ba1 Ba 0.0000 0.0000 0.0000
Ca1 Ca 0.5000 0.5000 0.0000
Sn1 Sn 0.0000 0.5000 0.5000
```

Summary:
As for the total energy: -14.1 eV for the cell shown.

---

No. 3
Below is a relaxed structure of Ba2Ca2Sn, with properties calculated at the GGA-PBE level.

Cell and atoms, written as CIF:
```
data_Ba2Ca2Sn
_cell_length_a 8.4591
_cell_length_b 8.4591
_cell_length_c 6.1981
_cell_angle_alpha 90.00
_cell_angle_beta 90.00
_cell_angle_gamma 90.00
_symmetry_space_group_name_H-M 'P 4/m b m'
_symmetry_Int_Tables_number 127
_symmetry_space_group_name_Hall '-P 4 2ab'
loop_
_atom_site_label
_atom_site_type_symbol
_atom_site_fract_x
_atom_site_fract_y
_atom_site_fract_z
Ba1 Ba 0.1736 0.3264 0.0000
Ca1 Ca 0.1519 0.6519 0.5000
Sn1 Sn 0.0000 0.0000 0.5000
```

Summary:
As for the total energy: -25.5 eV for the cell shown. Its energy above the most stable polymorph in this dataset is 0 meV/atom.

---

No. 4
Below is a relaxed structure of Ba2Ca4Sn, with properties calculated at the GGA-PBE level.

Cell and atoms, written as CIF:
```
data_Ba2Ca4Sn
_cell_length_a 6.0332
_cell_length_b 6.0332
_cell_length_c 19.9770
_cell_angle_alpha 90.00
_cell_angle_beta 90.00
_cell_angle_gamma 90.00
_symmetry_space_group_name_H-M 'I 4/m m m'
_symmetry_Int_Tables_number 139
_symmetry_space_group_name_Hall '-I 4 2'
loop_
_atom_site_label
_atom_site_type_symbol
_atom_site_fract_x
_atom_site_fract_y
_atom_site_fract_z
Ba1 Ba 0.0000 0.0000 0.1444
Ca1 Ca 0.0000 0.0000 0.3446
Ca2 Ca 0.0000 0.5000 0.0000
Sn1 Sn 0.0000 0.0000 0.5000
```

Summary:
As for the total energy: -31.3 eV for the cell shown.

---

No. 5
Below is a relaxed structure of Ba2CaSn2, with properties calculated at the GGA-PBE level.

Cell and atoms, written as CIF:
```
data_Ba2CaSn2
_cell_length_a 10.1593
_cell_length_b 10.1593
_cell_length_c 3.7803
_cell_angle_alpha 90.00
_cell_angle_beta 90.00
_cell_angle_gamma 90.00
_symmetry_space_group_name_H-M 'P 4/m b m'
_symmetry_Int_Tables_number 127
_symmetry_space_group_name_Hall '-P 4 2ab'
loop_
_atom_site_label
_atom_site_type_symbol
_atom_site_fract_x
_atom_site_fract_y
_atom_site_fract_z
Ba1 Ba 0.1250 0.3750 0.0000
Ca1 Ca 0.0000 0.0000 0.0000
Sn1 Sn 0.1745 0.6745 0.5000
```

Summary:
As for the total energy: -31.2 eV for the cell shown. Its energy above the most stable polymorph in this dataset is 273 meV/atom.

---

No. 6
Below is a relaxed structure of BaCaSn4, with properties calculated at the GGA-PBE level.

Cell and atoms, written as CIF:
```
data_BaCaSn4
_cell_length_a 8.7343
_cell_length_b 20.0605
_cell_length_c 4.7292
_cell_angle_alpha 90.00
_cell_angle_beta 90.00
_cell_angle_gamma 90.00
_symmetry_space_group_name_H-M 'P b a m'
_symmetry_Int_Tables_number 55
_symmetry_space_group_name_Hall '-P 2 2ab'
loop_
_atom_site_label
_atom_site_type_symbol
_atom_site_fract_x
_atom_site_fract_y
_atom_site_fract_z
Ba1 Ba 0.1124 0.1670 0.0000
Ca1 Ca 0.1157 0.4148 0.0000
Sn1 Sn 0.0627 0.6837 0.5000
Sn2 Sn 0.1021 0.9407 0.5000
Sn3 Sn 0.1466 0.5371 0.5000
Sn4 Sn 0.2329 0.8076 0.5000
```

Summary:
As for the total energy: -89.7 eV for the cell shown. Its energy above the most stable polymorph in this dataset is 69 meV/atom.

---

No. 7
Below is a relaxed structure of BaCa2Sn, with properties calculated at the GGA-PBE level.

Cell and atoms, written as CIF:
```
data_BaCa2Sn
_cell_length_a 5.2288
_cell_length_b 5.2288
_cell_length_c 5.3190
_cell_angle_alpha 90.00
_cell_angle_beta 90.00
_cell_angle_gamma 90.00
_symmetry_space_group_name_H-M 'P 4/m m m'
_symmetry_Int_Tables_number 123
_symmetry_space_group_name_Hall '-P 4 2'
loop_
_atom_site_label
_atom_site_type_symbol
_atom_site_fract_x
_atom_site_fract_y
_atom_site_fract_z
Ba1 Ba 0.0000 0.0000 0.0000
Ca1 Ca 0.0000 0.5000 0.5000
Sn1 Sn 0.5000 0.5000 0.0000
```

Summary:
As for the total energy: -11.4 eV for the cell shown.

---

No. 8
Below is a relaxed structure of Ba2CaSn2, with properties calculated at the GGA-PBE level.

Cell and atoms, written as CIF:
```
data_Ba2CaSn2
_cell_length_a 13.5667
_cell_length_b 5.2905
_cell_length_c 12.7619
_cell_angle_alpha 90.00
_cell_angle_beta 119.69
_cell_angle_gamma 90.00
_symmetry_space_group_name_H-M 'C 1 2/m 1'
_symmetry_Int_Tables_number 12
_symmetry_space_group_name_Hall '-C 2y'
loop_
_atom_site_label
_atom_site_type_symbol
_atom_site_fract_x
_atom_site_fract_y
_atom_site_fract_z
Ba1 Ba 0.0155 0.0000 0.1801
Ba2 Ba 0.1788 0.0000 0.5966
Ca1 Ca 0.2161 0.5000 0.8711
Sn1 Sn 0.0168 0.5000 0.3896
Sn2 Sn 0.1290 0.5000 0.0694
```

Summary:
As for the total energy: -67.9 eV for the cell shown. Its energy above the most stable polymorph in this dataset is 0 meV/atom.

---

No. 9
Below is a relaxed structure of Ba2CaSn, with properties calculated at the GGA-PBE level.

Cell and atoms, written as CIF:
```
data_Ba2CaSn
_cell_length_a 4.3988
_cell_length_b 4.3988
_cell_length_c 9.3296
_cell_angle_alpha 90.00
_cell_angle_beta 90.00
_cell_angle_gamma 90.00
_symmetry_space_group_name_H-M 'P 4/m m m'
_symmetry_Int_Tables_number 123
_symmetry_space_group_name_Hall '-P 4 2'
loop_
_atom_site_label
_atom_site_type_symbol
_atom_site_fract_x
_atom_site_fract_y
_atom_site_fract_z
Ba1 Ba 0.0000 0.0000 0.2001
Ca1 Ca 0.5000 0.5000 0.5000
Sn1 Sn 0.5000 0.5000 0.0000
```

Summary:
As for the total energy: -11.0 eV for the cell shown.

---

No. 10
Below is a relaxed structure of BaCaSn6, with properties calculated at the GGA-PBE level.

Cell and atoms, written as CIF:
```
data_BaCaSn6
_cell_length_a 5.8300
_cell_length_b 6.9418
_cell_length_c 12.0109
_cell_angle_alpha 90.00
_cell_angle_beta 90.00
_cell_angle_gamma 90.00
_symmetry_space_group_name_H-M 'A m m 2'
_symmetry_Int_Tables_number 38
_symmetry_space_group_name_Hall 'A 2 -2'
loop_
_atom_site_label
_atom_site_type_symbol
_atom_site_fract_x
_atom_site_fract_y
_atom_site_fract_z
Ba1 Ba 0.0000 0.0000 0.0000
Ca1 Ca 0.5000 0.0000 0.6672
Sn1 Sn 0.0000 0.0000 0.4826
Sn2 Sn 0.0000 0.2228 0.2592
Sn3 Sn 0.5000 0.0000 0.1870
Sn4 Sn 0.5000 0.2195 0.4069
```

Summary:
As for the total energy: -61.6 eV for the cell shown.

---

No. 11
Below is a relaxed structure of Ba2Ca2Sn, with properties calculated at the GGA-PBE level.

Cell and atoms, written as CIF:
```
data_Ba2Ca2Sn
_cell_length_a 4.7289
_cell_length_b 4.7289
_cell_length_c 19.8506
_cell_angle_alpha 90.00
_cell_angle_beta 90.00
_cell_angle_gamma 90.00
_symmetry_space_group_name_H-M 'I 4/m m m'
_symmetry_Int_Tables_number 139
_symmetry_space_group_name_Hall '-I 4 2'
loop_
_atom_site_label
_atom_site_type_symbol
_atom_site_fract_x
_atom_site_fract_y
_atom_site_fract_z
Ba1 Ba 0.0000 0.5000 0.2500
Ca1 Ca 0.0000 0.0000 0.0815
Sn1 Sn 0.0000 0.0000 0.5000
```

Summary:
As for the total energy: -20.9 eV for the cell shown. Its energy above the most stable polymorph in this dataset is 458 meV/atom.

---

No. 12
Below is a relaxed structure of Ba2CaSn, with properties calculated at the GGA-PBE level.

Cell and atoms, written as CIF:
```
data_Ba2CaSn
_cell_length_a 10.3135
_cell_length_b 10.3135
_cell_length_c 7.1444
_cell_angle_alpha 90.00
_cell_angle_beta 90.00
_cell_angle_gamma 90.00
_symmetry_space_group_name_H-M 'I -4 2 d'
_symmetry_Int_Tables_number 122
_symmetry_space_group_name_Hall 'I -4 2bw'
loop_
_atom_site_label
_atom_site_type_symbol
_atom_site_fract_x
_atom_site_fract_y
_atom_site_fract_z
Ba1 Ba 0.1952 0.2500 0.1250
Ca1 Ca 0.0000 0.0000 0.5000
Sn1 Sn 0.0000 0.0000 0.0000
```

Summary:
As for the total energy: -41.2 eV for the cell shown.